No. 1
Density functional theory data (GGA-PBE) for a relaxed structure of Li2PtC.

abc: 9.7784 9.7784 7.1730
angles: 47.03 47.03 90.00
Element x y z (fractional)
C 0.5000 0.5000 0.0000
C 0.2500 0.7500 0.5000
Pt 0.0000 0.0000 0.0000
Pt 0.7500 0.2500 0.5000
Li 0.8733 0.1250 0.2500
Li 0.8767 0.6250 0.2500
Li 0.3750 0.1267 0.7500
Li 0.8750 0.1233 0.7500

Calculated values
M_tot: 0.0 μB/f.u.
raw total energy: -4.604 eV per atom
space-group type: I-42d, No. 122
D(E_F): 2.3 states/eV per cell

=====

No. 2
Density functional theory data (GGA-PBE) for a relaxed structure of LiPt2C.

abc: 6.8914 6.8914 5.4405
angles: 50.70 50.70 90.00
Element x y z (fractional)
C 0.0000 0.0000 0.0000
C 0.7500 0.2500 0.5000
Pt 0.7595 0.1250 0.2500
Pt 0.9905 0.6250 0.2500
Pt 0.3750 0.2405 0.7500
Pt 0.8750 0.0095 0.7500
Li 0.5000 0.5000 0.0000
Li 0.2500 0.7500 0.5000

Calculated values
M_tot: 0.0 μB/f.u.
raw total energy: -5.759 eV per atom
space-group type: I-42d, No. 122
D(E_F): 1.5 states/eV per cell

=====

No. 3
Density functional theory data (GGA-PBE) for a relaxed structure of LiPt3C.

abc: 4.2066 4.2066 4.2066
angles: 90.00 90.00 90.00
Element x y z (fractional)
C 0.5000 0.5000 0.5000
Pt 0.0000 0.5000 0.0000
Pt 0.0000 0.0000 0.5000
Pt 0.5000 0.0000 0.0000
Li 0.0000 0.0000 0.0000

Calculated values
M_tot: 0.0 μB/f.u.
space-group type: Pm-3m, No. 221
distance to the lowest polymorph of the same formula: 8.77 eV per formula unit
D(E_F): 6.4 states/eV per cell

=====

No. 4
Density functional theory data (GGA-PBE) for a relaxed structure of LiPtC3.

abc: 4.0570 4.0570 4.0570
angles: 90.00 90.00 90.00
Site moments in Bohr magnetons follow the coordinates.
Element x y z (fractional)
C 0.0000 0.5000 0.0000  0.15
C 0.0000 0.0000 0.5000  0.11
C 0.5000 0.0000 0.0000  0.06
Pt 0.0000 0.0000 0.0000  0.27
Li 0.5000 0.5000 0.5000  0.01

Calculated values
M_tot: 1.0 μB/f.u.
space-group type: Pm-3m, No. 221
distance to the lowest polymorph of the same formula: 0.00 eV per formula unit
D(E_F): 3.9 states/eV per cell

=====

No. 5
Density functional theory data (GGA-PBE) for a relaxed structure of Li2PtC2.

abc: 5.2037 5.2037 3.5953
angles: 90.00 90.00 90.00
Element x y z (fractional)
C 0.4064 0.9064 0.0000
C 0.9064 0.5936 0.0000
C 0.5936 0.0936 0.0000
C 0.0936 0.4064 0.0000
Pt 0.0000 0.0000 0.0000
Pt 0.5000 0.5000 0.0000
Li 0.1828 0.6828 0.5000
Li 0.6828 0.8172 0.5000
Li 0.8172 0.3172 0.5000
Li 0.3172 0.1828 0.5000

Calculated values
M_tot: 0.0 μB/f.u.
raw total energy: -5.780 eV per atom
space-group type: P4/mbm, No. 127
D(E_F): 1.2 states/eV per cell

=====

No. 6
Density functional theory data (GGA-PBE) for a relaxed structure of LiPt3C.

abc: 4.1519 4.1519 4.1519
angles: 90.00 90.00 90.00
Element x y z (fractional)
C 0.0000 0.0000 0.0000
Pt 0.0000 0.5000 0.0000
Pt 0.0000 0.0000 0.5000
Pt 0.5000 0.0000 0.0000
Li 0.5000 0.5000 0.5000

Calculated values
M_tot: 0.0 μB/f.u.
space-group type: Pm-3m, No. 221
distance to the lowest polymorph of the same formula: 0.00 eV per formula unit
D(E_F): 6.3 states/eV per cell

=====

No. 7
Density functional theory data (GGA-PBE) for a relaxed structure of LiPtC3.

abc: 3.6708 3.6708 3.6708
angles: 90.00 90.00 90.00
Element x y z (fractional)
C 0.0000 0.5000 0.0000
C 0.0000 0.0000 0.5000
C 0.5000 0.0000 0.0000
Pt 0.5000 0.5000 0.5000
Li 0.0000 0.0000 0.0000

Calculated values
M_tot: 0.0 μB/f.u.
space-group type: Pm-3m, No. 221
distance to the lowest polymorph of the same formula: 2.82 eV per formula unit
D(E_F): 3.7 states/eV per cell

=====

No. 8
Density functional theory data (GGA-PBE) for a relaxed structure of LiRePtC2.

abc: 3.9946 4.2857 3.9946
angles: 90.00 90.00 90.00
Site moments in Bohr magnetons follow the coordinates.
Element x y z (fractional)
Re 0.5000 0.5000 0.5000  2.75
C 0.0000 0.0000 0.5000  -0.14
C 0.5000 0.0000 0.0000  -0.12
Pt 0.0000 0.0000 0.0000  0.00
Li 0.0000 0.5000 0.0000  0.01

Calculated values
M_tot: 2.7 μB/f.u.
raw total energy: -5.650 eV per atom
space-group type: P4/mmm, No. 123
D(E_F): 3.1 states/eV per cell